No. 1
# PBE-GGA Li2TaTl, relaxed
# ΔE_f, eV per atom: 0.395
data_Li2TaTl
_space_group_name_H-M_alt 'I m m m'
_space_group_IT_number 71
_space_group_name_Hall '-I 2 2'
_cell_length_a 2.912
_cell_length_b 5.157
_cell_length_c 10.391
_cell_angle_alpha 90.00
_cell_angle_beta 90.00
_cell_angle_gamma 90.00
loop_
_atom_site_label
_atom_site_type_symbol
_atom_site_fract_x
_atom_site_fract_y
_atom_site_fract_z
_atom_site_occupancy
Li1 Li 0.000 0.000 0.242 1
Ta1 Ta 0.000 0.500 0.000 1
Tl1 Tl 0.000 0.500 0.500 1


No. 2
# PBE-GGA CaCrI3, relaxed
# Formation energy from raw total energies, eV/atom: -0.47
data_CaCrI3
_space_group_name_H-M_alt 'P m -3 m'
_space_group_IT_number 221
_space_group_name_Hall '-P 4 2 3'
_cell_length_a 5.634
_cell_length_b 5.634
_cell_length_c 5.634
_cell_angle_alpha 90.00
_cell_angle_beta 90.00
_cell_angle_gamma 90.00
loop_
_atom_site_label
_atom_site_type_symbol
_atom_site_fract_x
_atom_site_fract_y
_atom_site_fract_z
_atom_site_occupancy
Ca1 Ca 0.000 0.000 0.000 1
Cr1 Cr 0.500 0.500 0.500 1
I1 I 0.000 0.500 0.500 1


No. 3
# PBE-GGA CrTcW, relaxed
# ΔE_f, eV per atom: 0.710
data_CrTcW
_space_group_name_H-M_alt 'F -4 3 m'
_space_group_IT_number 216
_space_group_name_Hall 'F -4 2 3'
_cell_length_a 5.790
_cell_length_b 5.790
_cell_length_c 5.790
_cell_angle_alpha 90.00
_cell_angle_beta 90.00
_cell_angle_gamma 90.00
loop_
_atom_site_label
_atom_site_type_symbol
_atom_site_fract_x
_atom_site_fract_y
_atom_site_fract_z
_atom_site_occupancy
Cr1 Cr 0.000 0.000 0.000 1
Tc1 Tc 0.250 0.250 0.750 1
W1 W 0.250 0.250 0.250 1


No. 4
# PBE-GGA LiSmGe2Ir, relaxed
# ΔE_f, eV per atom: -0.675
data_LiSmGe2Ir
_space_group_name_H-M_alt 'I -4 m 2'
_space_group_IT_number 119
_space_group_name_Hall 'I -4 -2'
_cell_length_a 4.160
_cell_length_b 4.160
_cell_length_c 10.544
_cell_angle_alpha 90.00
_cell_angle_beta 90.00
_cell_angle_gamma 90.00
loop_
_atom_site_label
_atom_site_type_symbol
_atom_site_fract_x
_atom_site_fract_y
_atom_site_fract_z
_atom_site_occupancy
Li1 Li 0.000 0.000 0.000 1
Sm1 Sm 0.000 0.500 0.250 1
Ge1 Ge 0.000 0.500 0.629 1
Ir1 Ir 0.000 0.000 0.500 1


No. 5
# PBE-GGA AlRh3I, relaxed
# Formation energy from raw total energies, eV/atom: 0.63
data_AlRh3I
_space_group_name_H-M_alt 'P m -3 m'
_space_group_IT_number 221
_space_group_name_Hall '-P 4 2 3'
_cell_length_a 4.584
_cell_length_b 4.584
_cell_length_c 4.584
_cell_angle_alpha 90.00
_cell_angle_beta 90.00
_cell_angle_gamma 90.00
loop_
_atom_site_label
_atom_site_type_symbol
_atom_site_fract_x
_atom_site_fract_y
_atom_site_fract_z
_atom_site_occupancy
Al1 Al 0.000 0.000 0.000 1
Rh1 Rh 0.000 0.000 0.500 1
I1 I 0.500 0.500 0.500 1


No. 6
# PBE-GGA KZn2SiS4, relaxed
# Formation energy from raw total energies, eV/atom: -0.65
data_KZn2SiS4
_space_group_name_H-M_alt 'F m m 2'
_space_group_IT_number 42
_space_group_name_Hall 'F 2 -2'
_cell_length_a 8.991
_cell_length_b 9.378
_cell_length_c 8.535
_cell_angle_alpha 90.00
_cell_angle_beta 90.00
_cell_angle_gamma 90.00
loop_
_atom_site_label
_atom_site_type_symbol
_atom_site_fract_x
_atom_site_fract_y
_atom_site_fract_z
_atom_site_occupancy
K1 K 0.000 0.000 0.000 1
Zn1 Zn 0.250 0.250 0.257 1
Si1 Si 0.000 0.000 0.489 1
S1 S 0.000 0.189 0.631 1
S2 S 0.195 0.000 0.340 1


No. 7
# PBE-GGA Co2NiMo, relaxed
# ΔE_f, eV per atom: 0.054
data_Co2NiMo
_space_group_name_H-M_alt 'P 4 m m'
_space_group_IT_number 99
_space_group_name_Hall 'P 4 -2'
_cell_length_a 2.592
_cell_length_b 2.592
_cell_length_c 7.240
_cell_angle_alpha 90.00
_cell_angle_beta 90.00
_cell_angle_gamma 90.00
loop_
_atom_site_label
_atom_site_type_symbol
_atom_site_fract_x
_atom_site_fract_y
_atom_site_fract_z
_atom_site_occupancy
Co1 Co 0.000 0.000 0.000 1
Co2 Co 0.500 0.500 0.221 1
Ni1 Ni 0.500 0.500 0.762 1
Mo1 Mo 0.000 0.000 0.494 1


No. 8
# PBE-GGA HfAgF5, relaxed
# Formation energy from raw total energies, eV/atom: -3.02
data_HfAgF5
_space_group_name_H-M_alt 'I m m m'
_space_group_IT_number 71
_space_group_name_Hall '-I 2 2'
_cell_length_a 4.141
_cell_length_b 7.243
_cell_length_c 8.655
_cell_angle_alpha 90.00
_cell_angle_beta 90.00
_cell_angle_gamma 90.00
loop_
_atom_site_label
_atom_site_type_symbol
_atom_site_fract_x
_atom_site_fract_y
_atom_site_fract_z
_atom_site_occupancy
Hf1 Hf 0.000 0.000 0.000 1
Ag1 Ag 0.000 0.000 0.500 1
F1 F 0.000 0.000 0.228 1
F2 F 0.000 0.275 0.000 1
F3 F 0.000 0.500 0.500 1


- What is the formula in the sixth record?
  KZn2SiS4